This record from Alexandria via LeMat-Bulk describes a relaxed La4PmN4 crystal. The functional is GGA-PBE.

Geometry as POSCAR:
```
La4PmN4
1.0
6.186 -1.850 0.000
6.186 1.850 0.000
-4.646 0.000 7.995
La Pm N
4 1 4
direct
0.105 0.105 0.381
0.294 0.294 0.187
0.706 0.706 0.813
0.895 0.895 0.619
0.500 0.500 0.000
0.103 0.103 0.909
0.307 0.307 0.699
0.693 0.693 0.301
0.897 0.897 0.091
```

Computed properties:
**Energy above the lowest structure with this stoichiometry**: 0.000 eV/atom
**Size of the total moment**: 0.87 μB per cell
**Raw formation energy**: -1.226 eV/atom
**Final energy**: -7.64 eV/atom
**V**: 20.3 Å³ per atom